1.
The following is a DFT calculation (GGA-PBE) of KDyPt after structural relaxation.

Computed properties:
Size of the total moment ... 0.00 μB per formula unit
Space group ... Cmc2_1
Energy ... -4.3559 eV per atom
ΔE to the lowest computed polymorph ... 0.0000 eV per atom

Geometry as CIF:
```
data_KDyPt
_symmetry_space_group_name_H-M 'P 1'
_symmetry_Int_Tables_number 1
_cell_length_a 8.0042
_cell_length_b 8.0042
_cell_length_c 7.0419
_cell_angle_alpha 90.00
_cell_angle_beta 90.00
_cell_angle_gamma 152.23
loop_
_symmetry_equiv_pos_as_xyz
'x,y,z'
loop_
_atom_site_label
_atom_site_fract_x
_atom_site_fract_y
_atom_site_fract_z
Dy1 0.9357 0.0643 0.1891
Dy2 0.0643 0.9357 0.6891
K1 0.1720 0.8280 0.1882
K2 0.8280 0.1720 0.6882
Pt1 0.4987 0.5013 0.4417
Pt2 0.5013 0.4987 0.9417
```



2.
The following is a DFT calculation (GGA-PBE) of Fe2BPb after structural relaxation.

Computed properties:
Size of the total moment ... 3.77 μB per formula unit
Space group ... Pm-3m
Energy ... -6.1068 eV per atom

Geometry as CIF:
```
data_Fe2BPb
_symmetry_space_group_name_H-M 'P 1'
_symmetry_Int_Tables_number 1
_cell_length_a 5.8984
_cell_length_b 5.8984
_cell_length_c 5.8984
_cell_angle_alpha 90.00
_cell_angle_beta 90.00
_cell_angle_gamma 90.00
loop_
_symmetry_equiv_pos_as_xyz
'x,y,z'
loop_
_atom_site_label
_atom_site_fract_x
_atom_site_fract_y
_atom_site_fract_z
B1 0.0000 0.0000 0.0000
B2 0.5000 0.0000 0.0000
B3 0.0000 0.5000 0.0000
B4 0.0000 0.0000 0.5000
Fe1 0.2029 0.2029 0.2029
Fe2 0.7971 0.2029 0.2029
Fe3 0.2029 0.7971 0.2029
Fe4 0.7971 0.7971 0.2029
Fe5 0.2029 0.2029 0.7971
Fe6 0.7971 0.2029 0.7971
Fe7 0.2029 0.7971 0.7971
Fe8 0.7971 0.7971 0.7971
Pb1 0.5000 0.5000 0.0000
Pb2 0.5000 0.0000 0.5000
Pb3 0.0000 0.5000 0.5000
Pb4 0.5000 0.5000 0.5000
```



3.
The following is a DFT calculation (GGA-PBE) of CoTcBiOs after structural relaxation.

Computed properties:
Size of the total moment ... 1.84 μB per formula unit
Space group ... F-43m
Energy ... -7.4303 eV per atom
ΔE to the lowest computed polymorph ... 0.0000 eV per atom

Geometry as CIF:
```
data_CoTcBiOs
_symmetry_space_group_name_H-M 'P 1'
_symmetry_Int_Tables_number 1
_cell_length_a 4.4997
_cell_length_b 4.4997
_cell_length_c 4.4997
_cell_angle_alpha 60.00
_cell_angle_beta 60.00
_cell_angle_gamma 60.00
loop_
_symmetry_equiv_pos_as_xyz
'x,y,z'
loop_
_atom_site_label
_atom_site_fract_x
_atom_site_fract_y
_atom_site_fract_z
Bi1 0.0000 0.0000 0.0000
Co1 0.7500 0.7500 0.7500
Os1 0.5000 0.5000 0.5000
Tc1 0.2500 0.2500 0.2500
```



4.
The following is a DFT calculation (GGA-PBE) of BiPd15 after structural relaxation.

Computed properties:
Space group ... P2_1/m
Energy ... -5.1144 eV per atom
ΔE to the lowest computed polymorph ... 0.0143 eV per atom

Geometry as CIF:
```
data_BiPd15
_symmetry_space_group_name_H-M 'P 1'
_symmetry_Int_Tables_number 1
_cell_length_a 5.5627
_cell_length_b 3.9028
_cell_length_c 33.5247
_cell_angle_alpha 90.00
_cell_angle_beta 90.01
_cell_angle_gamma 90.00
loop_
_symmetry_equiv_pos_as_xyz
'x,y,z'
loop_
_atom_site_label
_atom_site_fract_x
_atom_site_fract_y
_atom_site_fract_z
Bi1 0.1254 0.0000 0.1805
Bi2 0.8746 0.5000 0.8196
Pd1 0.6253 0.0000 0.1839
Pd2 0.8742 0.5000 0.2249
Pd3 0.3766 0.5000 0.2250
Pd4 0.1252 0.0000 0.2683
Pd5 0.6252 0.0000 0.2687
Pd6 0.8758 0.5000 0.3106
Pd7 0.3742 0.5000 0.3107
Pd8 0.6248 0.0000 0.3528
Pd9 0.1248 0.0000 0.3528
Pd10 0.8749 0.5000 0.3949
Pd11 0.3745 0.5000 0.3949
Pd12 0.6248 0.0000 0.4368
Pd13 0.1249 0.0000 0.4371
Pd14 0.8747 0.5000 0.4789
Pd15 0.3751 0.5000 0.4791
Pd16 0.6249 0.0000 0.5209
Pd17 0.1253 0.0000 0.5211
Pd18 0.8751 0.5000 0.5629
Pd19 0.3752 0.5000 0.5632
Pd20 0.6255 0.0000 0.6051
Pd21 0.1251 0.0000 0.6051
Pd22 0.3752 0.5000 0.6472
Pd23 0.8752 0.5000 0.6472
Pd24 0.6258 0.0000 0.6893
Pd25 0.1242 0.0000 0.6894
Pd26 0.3748 0.5000 0.7313
Pd27 0.8748 0.5000 0.7317
Pd28 0.6235 0.0000 0.7750
Pd29 0.1257 0.0000 0.7751
Pd30 0.3747 0.5000 0.8161
```